Density functional theory data (PBE) for crystalline ErTiO4 at its relaxed geometry.

Results
Calculated volume: 12.1 Å³ per atom
Calculated total energy: -99.65 eV/cell
Formation energy without anion corrections: -2.923 eV/atom

abc: 5.1603 5.1799 6.5547
angles: 113.18 113.09 90.21
With the nearest neighbours (Å) after each atom.
Sites, in units of the cell vectors:
1 O 0.7095 0.0431 0.4264  1 Ti 1.85
2 O 0.0413 0.2174 0.9274  1 Ti 1.85
3 O 0.9587 0.7826 0.0726  1 Ti 1.85
4 O 0.2169 0.3833 0.4264  1 Ti 1.85
5 O 0.3862 0.7101 0.9274  1 Ti 1.85
6 O 0.6138 0.2899 0.0726  1 Ti 1.85
7 O 0.7831 0.6167 0.5736  1 Ti 1.85
8 O 0.2905 0.9569 0.5736  1 Ti 1.85
9 Ti 0.8740 0.1240 0.2479  4 O 1.85
10 Ti 0.1260 0.8760 0.7521  4 O 1.85
11 Er 0.6247 0.3747 0.7494  8 O 2.33-2.35
12 Er 0.3753 0.6253 0.2506  8 O 2.33-2.35



Density functional theory data (PBE) for crystalline YH2Pd at its relaxed geometry.

Results
Calculated volume: 12.5 Å³ per atom
Calculated total energy: -83.24 eV/cell

abc: 4.7034 7.0793 6.0269
angles: 90.00 90.00 90.03
With the nearest neighbours (Å) after each atom.
Sites, in units of the cell vectors:
1 H 0.4836 0.1030 0.1569  1 Pd 1.80
2 H 0.0140 0.1024 0.1583  1 Pd 1.79
3 H 0.0140 0.6024 0.3417  1 Pd 1.79
4 H 0.5164 0.8970 0.8431  1 Pd 1.80
5 H 0.9860 0.3976 0.6583  1 Pd 1.79
6 H 0.5164 0.3970 0.6569  1 Pd 1.80
7 H 0.4836 0.6030 0.3431  1 Pd 1.80
8 H 0.9860 0.8976 0.8417  1 Pd 1.79
9 Pd 0.2511 0.4547 0.8614  2 H 1.79-1.80
10 Pd 0.2511 0.9547 0.6386  2 H 1.79-1.80
11 Pd 0.7489 0.5453 0.1386  2 H 1.79-1.80
12 Pd 0.7489 0.0453 0.3614  2 H 1.79-1.80
13 Y 0.2500 0.3239 0.3540  6 H 2.25-2.28
14 Y 0.2500 0.8239 0.1460  6 H 2.25-2.28
15 Y 0.7500 0.6761 0.6460  6 H 2.25-2.28
16 Y 0.7500 0.1761 0.8540  6 H 2.25-2.28



Density functional theory data (PBE) for crystalline HfZr3Co8 at its relaxed geometry.

Results
Formation energy: -0.326 eV per atom
Calculated volume: 13.7 Å³ per atom
Calculated total energy: -96.36 eV/cell

abc: 4.8835 4.8835 8.4607
angles: 73.23 73.23 60.00
With the nearest neighbours (Å) after each atom.
Sites, in units of the cell vectors:
1 Hf 0.8749 0.8749 0.3752  12 Co 2.85-2.86, 4 Zr 2.99
2 Co 0.9372 0.4393 0.6863  6 Co 2.43-2.45
3 Co 0.9370 0.4371 0.1889  6 Co 2.43-2.45
4 Co 0.4371 0.4371 0.1889  6 Co 2.43-2.45
5 Co 0.1877 0.1877 0.4370  6 Co 2.43-2.44
6 Co 0.9372 0.9372 0.6863  6 Co 2.43-2.45
7 Co 0.6876 0.6876 0.9372  6 Co 2.44-2.45
8 Co 0.4393 0.9372 0.6863  6 Co 2.43-2.45
9 Co 0.4371 0.9370 0.1889  6 Co 2.43-2.45
10 Zr 0.3750 0.3750 0.8749  12 Co 2.86-2.87, 4 Zr 2.99
11 Zr 0.5001 0.5001 0.4997  12 Co 2.85-2.86, 3 Hf 2.99, 1 Zr 2.99
12 Zr 0.9999 0.9999 0.0003  12 Co 2.86-2.88, 1 Hf 2.99, 3 Zr 2.99



Density functional theory data (PBE) for crystalline LiRhAu2 at its relaxed geometry.

Results
Formation energy: -0.148 eV per atom
Calculated volume: 15.9 Å³ per atom
Calculated total energy: -16.41 eV/cell

abc: 4.0321 2.7574 6.3376
angles: 64.61 90.00 90.00
With the nearest neighbours (Å) after each atom.
Sites, in units of the cell vectors:
1 Li 0.5000 0.2500 0.2500  2 Li 2.76, 8 Au 2.81-2.83, 2 Rh 2.86
2 Rh 0.5000 0.7500 0.7500  2 Rh 2.76, 8 Au 2.84, 2 Li 2.86
3 Au 0.0000 0.5011 0.4965  4 Au 2.76-2.90, 4 Li 2.81-2.83, 4 Rh 2.84
4 Au 0.0000 0.9989 0.0035  4 Au 2.76-2.90, 4 Li 2.81-2.83, 4 Rh 2.84